(1)
A relaxed BeNi2S crystal, computed with GGA-PBE.

## Properties
Crystal system = cubic
Uncorrected formation energy = 0.028 eV per atom
Energy above the lowest structure with this stoichiometry = 77 meV/atom

Geometry as CIF:
```
data_BeNi2S
_chemical_formula_sum 'Be4 Ni8 S4'
_cell_length_a 5.5108
_cell_length_b 5.5108
_cell_length_c 5.5108
_cell_angle_alpha 90.00
_cell_angle_beta 90.00
_cell_angle_gamma 90.00
_symmetry_space_group_name_H-M 'F m -3 m'
_symmetry_Int_Tables_number 225
_symmetry_space_group_name_Hall '-F 4 2 3'
loop_
_atom_site_label
_atom_site_fract_x
_atom_site_fract_y
_atom_site_fract_z
Be1 0.0000 0.0000 0.0000
Ni1 0.2500 0.2500 0.2500
S1 0.0000 0.0000 0.5000
```

(2)
A relaxed Be2NiS crystal, computed with GGA-PBE.

## Properties
Crystal system = tetragonal
Uncorrected formation energy = 0.100 eV per atom

Geometry as CIF:
```
data_Be2NiS
_chemical_formula_sum 'Be8 Ni4 S4'
_cell_length_a 5.0193
_cell_length_b 5.0193
_cell_length_c 9.1289
_cell_angle_alpha 90.00
_cell_angle_beta 90.00
_cell_angle_gamma 90.00
_symmetry_space_group_name_H-M 'I -4 2 d'
_symmetry_Int_Tables_number 122
_symmetry_space_group_name_Hall 'I -4 2bw'
loop_
_atom_site_label
_atom_site_fract_x
_atom_site_fract_y
_atom_site_fract_z
Be1 0.2342 0.2500 0.1250
Ni1 0.0000 0.0000 0.5000
S1 0.0000 0.0000 0.0000
```

(3)
A relaxed BeNiS crystal, computed with GGA-PBE.

## Properties
Crystal system = hexagonal
Uncorrected formation energy = -0.126 eV per atom

Geometry as CIF:
```
data_BeNiS
_chemical_formula_sum 'Be2 Ni2 S2'
_cell_length_a 3.4904
_cell_length_b 3.4904
_cell_length_c 8.4161
_cell_angle_alpha 90.00
_cell_angle_beta 90.00
_cell_angle_gamma 120.00
_symmetry_space_group_name_H-M 'P 63/m m c'
_symmetry_Int_Tables_number 194
_symmetry_space_group_name_Hall '-P 6c 2c'
loop_
_atom_site_label
_atom_site_fract_x
_atom_site_fract_y
_atom_site_fract_z
Be1 0.3333 0.6667 0.2500
Ni1 0.0000 0.0000 0.0000
S1 0.0000 0.0000 0.2500
```

(4)
A relaxed BeNiS crystal, computed with GGA-PBE.

## Properties
Crystal system = monoclinic
Uncorrected formation energy = -0.355 eV per atom

Geometry as CIF:
```
data_BeNiS
_chemical_formula_sum 'Be4 Ni4 S4'
_cell_length_a 6.3275
_cell_length_b 4.8796
_cell_length_c 5.2631
_cell_angle_alpha 90.00
_cell_angle_beta 115.57
_cell_angle_gamma 90.00
_symmetry_space_group_name_H-M 'C 1 2 1'
_symmetry_Int_Tables_number 5
loop_
_symmetry_equiv_pos_as_xyz
'x,y,z'
'-x,y,-z'
'x+1/2,y+1/2,z'
'-x+1/2,y+1/2,-z'
loop_
_atom_site_label
_atom_site_fract_x
_atom_site_fract_y
_atom_site_fract_z
Be1 0.0812 0.0000 0.2532
Ni1 0.1727 0.6572 0.9509
S1 0.2061 0.4074 0.3104
```